[1]
! PBEsol LiReAs2, optimized geometry; values from VASP
! Formation energy from the elements = 1.046 eV/f.u.
! Mass density = 8.619 g/cm3
! D(E_F) = 0.558 states/eV/atom
! Relative energy among the computed polymorphs = 0.4776 eV/atom
&SYSTEM
  ibrav = 0, nat = 4, ntyp = 3
/
ATOMIC_SPECIES
As 74.92 As.upf
Li 6.94 Li.upf
Re 186.21 Re.upf
ATOMIC_POSITIONS crystal
As 0.000 0.000 0.040
As 0.500 0.500 0.718
Li 0.000 0.000 0.491
Re 0.500 0.500 0.251
CELL_PARAMETERS angstrom
2.713 -0.033 0.000
-0.830 2.583 0.000
0.000 0.000 9.469

***

[2]
! PBEsol EuTe, optimized geometry; values from VASP
! Mass density = 7.107 g/cm3
! D(E_F) = 5.118 states/eV/atom
! Raw formation energy = -1.692 eV per atom
&SYSTEM
  ibrav = 0, nat = 2, ntyp = 2
/
ATOMIC_SPECIES
Eu 151.96 Eu.upf
Te 127.60 Te.upf
ATOMIC_POSITIONS crystal
Eu 0.000 0.000 0.000
Te 0.500 0.500 0.500
CELL_PARAMETERS angstrom
4.520 0.000 0.000
2.260 3.915 0.000
2.260 1.305 3.691

***

[3]
! PBEsol NaSO3F, optimized geometry; values from VASP
! Mass density = 2.344 g/cm3
! D(E_F) = 0.000 states/eV/atom
! Raw formation energy = -1.802 eV per atom
&SYSTEM
  ibrav = 0, nat = 12, ntyp = 4
/
ATOMIC_SPECIES
Na 22.99 Na.upf
S 32.06 S.upf
O 16.00 O.upf
F 19.00 F.upf
ATOMIC_POSITIONS crystal
Na 0.000 0.000 0.500
Na 0.000 0.000 0.000
S 0.667 0.333 0.715
S 0.333 0.667 0.285
O 0.815 0.631 0.761
O 0.815 0.185 0.761
O 0.369 0.185 0.761
O 0.185 0.369 0.239
O 0.185 0.815 0.239
O 0.631 0.815 0.239
F 0.667 0.333 0.471
F 0.333 0.667 0.529
CELL_PARAMETERS angstrom
5.490 0.000 0.000
-2.745 4.755 0.000
0.000 0.000 6.624

***

[4]
! PBEsol NaMnH3C3O6, optimized geometry; values from VASP
! Mass density = 1.847 g/cm3
! Final energy = -6.90 eV per atom
! D(E_F) = 0.000 states/eV/atom
&SYSTEM
  ibrav = 0, nat = 56, ntyp = 5
/
ATOMIC_SPECIES
Na 22.99 Na.upf
Mn 54.94 Mn.upf
H 1.01 H.upf
C 12.01 C.upf
O 16.00 O.upf
ATOMIC_POSITIONS crystal
Na 0.812 0.688 0.312
Na 0.688 0.312 0.812
Na 0.188 0.188 0.188
Na 0.312 0.812 0.688
Mn 0.132 0.868 0.368
Mn 0.632 0.632 0.632
Mn 0.368 0.132 0.868
Mn 0.868 0.368 0.132
H 0.255 0.538 0.295
H 0.705 0.755 0.962
H 0.038 0.205 0.745
H 0.755 0.962 0.705
H 0.205 0.745 0.038
H 0.538 0.295 0.255
H 0.745 0.038 0.205
H 0.295 0.255 0.538
H 0.962 0.705 0.755
H 0.245 0.462 0.795
H 0.795 0.245 0.462
H 0.462 0.795 0.245
C 0.137 0.540 0.262
C 0.738 0.637 0.960
C 0.040 0.238 0.863
C 0.637 0.960 0.738
C 0.238 0.863 0.040
C 0.540 0.262 0.137
C 0.863 0.040 0.238
C 0.262 0.137 0.540
C 0.960 0.738 0.637
C 0.363 0.460 0.762
C 0.762 0.363 0.460
C 0.460 0.762 0.363
O 0.087 0.425 0.204
O 0.796 0.587 0.075
O 0.925 0.296 0.913
O 0.587 0.075 0.796
O 0.296 0.913 0.925
O 0.425 0.204 0.087
O 0.913 0.925 0.296
O 0.204 0.087 0.425
O 0.075 0.796 0.587
O 0.413 0.575 0.704
O 0.704 0.413 0.575
O 0.575 0.704 0.413
O 0.066 0.656 0.284
O 0.716 0.566 0.844
O 0.156 0.216 0.934
O 0.566 0.844 0.716
O 0.216 0.934 0.156
O 0.656 0.284 0.066
O 0.934 0.156 0.216
O 0.284 0.066 0.656
O 0.844 0.716 0.566
O 0.434 0.344 0.784
O 0.784 0.434 0.344
O 0.344 0.784 0.434
CELL_PARAMETERS angstrom
9.149 0.000 0.000
0.000 9.149 0.000
0.000 0.000 9.149

***

[5]
! PBEsol Ho2Cu2O5, optimized geometry; values from VASP
! Mass density = 7.798 g/cm3
! Raw formation energy = -2.237 eV per atom
&SYSTEM
  ibrav = 0, nat = 36, ntyp = 3
/
ATOMIC_SPECIES
Ho 164.93 Ho.upf
Cu 63.55 Cu.upf
O 16.00 O.upf
ATOMIC_POSITIONS crystal
Ho 0.718 0.457 0.831
Ho 0.282 0.543 0.331
Ho 0.782 0.957 0.831
Ho 0.218 0.043 0.331
Ho 0.716 0.292 0.503
Ho 0.284 0.708 0.003
Ho 0.784 0.792 0.503
Ho 0.216 0.208 0.003
Cu 0.153 0.238 0.719
Cu 0.847 0.762 0.219
Cu 0.347 0.738 0.719
Cu 0.653 0.262 0.219
Cu 0.158 0.511 0.614
Cu 0.842 0.489 0.114
Cu 0.342 0.011 0.614
Cu 0.658 0.989 0.114
O 0.722 0.077 0.975
O 0.278 0.923 0.475
O 0.778 0.577 0.975
O 0.222 0.423 0.475
O 0.280 0.072 0.765
O 0.720 0.928 0.265
O 0.220 0.572 0.765
O 0.780 0.428 0.265
O 0.839 0.375 0.667
O 0.161 0.625 0.167
O 0.661 0.875 0.667
O 0.339 0.125 0.167
O 0.213 0.177 0.567
O 0.787 0.823 0.067
O 0.287 0.677 0.567
O 0.713 0.323 0.067
O 0.721 0.174 0.358
O 0.279 0.826 0.858
O 0.779 0.674 0.358
O 0.221 0.326 0.858
CELL_PARAMETERS angstrom
3.459 0.000 0.000
0.000 10.727 0.000
0.000 0.000 12.328

***

[6]
! PBEsol CuSiAg, optimized geometry; values from VASP
! Mass density = 7.047 g/cm3
! D(E_F) = 0.430 states/eV/atom
! Relative energy among the computed polymorphs = 0.0386 eV/atom
! Raw formation energy = 0.170 eV per atom
&SYSTEM
  ibrav = 0, nat = 3, ntyp = 3
/
ATOMIC_SPECIES
Ag 107.87 Ag.upf
Cu 63.55 Cu.upf
Si 28.09 Si.upf
ATOMIC_POSITIONS crystal
Ag 0.000 0.000 0.000
Cu 0.500 0.500 0.500
Si 0.250 0.250 0.250
CELL_PARAMETERS angstrom
4.051 0.000 0.000
2.026 3.508 0.000
2.026 1.169 3.308

***

[7]
! PBEsol HfCdP2, optimized geometry; values from VASP
! Formation energy from the elements = -1.239 eV/f.u.
! Mass density = 5.893 g/cm3
&SYSTEM
  ibrav = 0, nat = 8, ntyp = 3
/
ATOMIC_SPECIES
P 30.97 P.upf
Hf 178.49 Hf.upf
Cd 112.41 Cd.upf
ATOMIC_POSITIONS crystal
P 0.363 0.875 0.250
P 0.887 0.375 0.250
P 0.125 0.113 0.750
P 0.625 0.637 0.750
Hf 0.250 0.750 0.500
Hf 0.000 0.000 0.000
Cd 0.750 0.250 0.500
Cd 0.500 0.500 0.000
CELL_PARAMETERS angstrom
5.858 0.000 0.000
0.000 5.858 0.000
-2.929 -2.929 5.795

***

[8]
! PBEsol Hf2ScCo2, optimized geometry; values from VASP
! Formation energy from the elements = -1.465 eV/f.u.
! Mass density = 10.526 g/cm3
! D(E_F) = 1.284 states/eV/atom
&SYSTEM
  ibrav = 0, nat = 10, ntyp = 3
/
ATOMIC_SPECIES
Sc 44.96 Sc.upf
Co 58.93 Co.upf
Hf 178.49 Hf.upf
ATOMIC_POSITIONS crystal
Sc 0.000 0.000 0.000
Sc 0.000 0.500 0.500
Co 0.000 0.369 0.869
Co 0.000 0.869 0.631
Co 0.000 0.631 0.131
Co 0.000 0.131 0.369
Hf 0.500 0.160 0.660
Hf 0.500 0.660 0.840
Hf 0.500 0.840 0.340
Hf 0.500 0.340 0.160
CELL_PARAMETERS angstrom
3.235 0.000 0.000
0.000 7.120 0.000
0.000 0.000 7.120

***

- Among the records above, which one has the lowest mass density?
  NaMnH3C3O6

***

What did the seventh record say?
! PBEsol HfCdP2, optimized geometry; values from VASP
! Formation energy from the elements = -1.239 eV/f.u.
! Mass density = 5.893 g/cm3
&SYSTEM
  ibrav = 0, nat = 8, ntyp = 3
/
ATOMIC_SPECIES
P 30.97 P.upf
Hf 178.49 Hf.upf
Cd 112.41 Cd.upf
ATOMIC_POSITIONS crystal
P 0.363 0.875 0.250
P 0.887 0.375 0.250
P 0.125 0.113 0.750
P 0.625 0.637 0.750
Hf 0.250 0.750 0.500
Hf 0.000 0.000 0.000
Cd 0.750 0.250 0.500
Cd 0.500 0.500 0.000
CELL_PARAMETERS angstrom
5.858 0.000 0.000
0.000 5.858 0.000
-2.929 -2.929 5.795

***

- Which value of mass density does entry 3 give?
  2.344 g/cm3

***

- Which of these has the highest mass density?
  Hf2ScCo2